CdCu2Pt: relaxed, PBE-GGA.

abc: 4.8179 4.8179 4.8179
angles: 132.34 132.34 69.69
Fractional positions:
Cd 0.0000 0.0000 0.0000
Cu 0.2500 0.7500 0.5000
Cu 0.5000 0.5000 0.0000
Pt 0.7500 0.2500 0.5000

Computed properties:
DFT total energy in eV/cell: -15.66
Volume in Å³/f.u.: 60
Magnetization in μB per atom: 0.00
ΔE_f in meV per atom: -129